No. 1
VASP calculation (GGA-PBE) on crystalline LiHoGa2Pd4 at its relaxed geometry.

Cell and atoms, written as CIF:
```
data_LiHoGa2Pd4
_cell_length_a 4.499
_cell_length_b 4.499
_cell_length_c 6.363
_cell_angle_alpha 90.00
_cell_angle_beta 90.00
_cell_angle_gamma 90.00
_space_group_name_H-M_alt 'P 4/m m m'
_space_group_IT_number 123
_space_group_name_Hall '-P 4 2'
loop_
_atom_site_label
_atom_site_type_symbol
_atom_site_fract_x
_atom_site_fract_y
_atom_site_fract_z
Li1 Li 0.000 0.000 0.000
Ho1 Ho 0.500 0.500 0.500
Ga1 Ga 0.000 0.000 0.500
Ga2 Ga 0.500 0.500 0.000
Pd1 Pd 0.000 0.500 0.230
```

* total energy: -4.89 eV per atom
* crystal system: tetragonal

***

No. 2
VASP calculation (GGA-PBE) on crystalline LiHoGa2Pt4 at its relaxed geometry.

Cell and atoms, written as CIF:
```
data_LiHoGa2Pt4
_cell_length_a 4.174
_cell_length_b 4.174
_cell_length_c 7.290
_cell_angle_alpha 90.00
_cell_angle_beta 90.00
_cell_angle_gamma 90.00
_space_group_name_H-M_alt 'P 4/m m m'
_space_group_IT_number 123
_space_group_name_Hall '-P 4 2'
loop_
_atom_site_label
_atom_site_type_symbol
_atom_site_fract_x
_atom_site_fract_y
_atom_site_fract_z
Li1 Li 0.000 0.000 0.000
Ho1 Ho 0.500 0.500 0.500
Ga1 Ga 0.000 0.000 0.500
Ga2 Ga 0.500 0.500 0.000
Pt1 Pt 0.000 0.500 0.227
```

* total energy: -5.39 eV per atom
* crystal system: tetragonal

***

No. 3
VASP calculation (GGA-PBE) on crystalline Ho2Lu3Ga3 at its relaxed geometry.

Cell and atoms, written as CIF:
```
data_Ho2Lu3Ga3
_cell_length_a 5.393
_cell_length_b 7.050
_cell_length_c 10.348
_cell_angle_alpha 90.00
_cell_angle_beta 90.00
_cell_angle_gamma 90.00
_space_group_name_H-M_alt 'A m m 2'
_space_group_IT_number 38
loop_
_space_group_symop_operation_xyz
'x,y,z'
'-x,-y,z'
'-x,y,z'
'x,-y,z'
'x,y+1/2,z+1/2'
'-x,-y+1/2,z+1/2'
'-x,y+1/2,z+1/2'
'x,-y+1/2,z+1/2'
loop_
_atom_site_label
_atom_site_type_symbol
_atom_site_fract_x
_atom_site_fract_y
_atom_site_fract_z
Ho1 Ho 0.000 0.000 0.000
Ho2 Ho 0.500 0.000 0.403
Lu1 Lu 0.000 0.000 0.589
Lu2 Lu 0.500 0.248 0.155
Ga1 Ga 0.000 0.182 0.291
Ga2 Ga 0.500 0.000 0.886
```

* crystal system: orthorhombic
* E above lowest polymorph: 14.27 kJ per mole of atoms

***

No. 4
VASP calculation (GGA-PBE) on crystalline HoLuGa2 at its relaxed geometry.

Cell and atoms, written as CIF:
```
data_HoLuGa2
_cell_length_a 5.199
_cell_length_b 11.583
_cell_length_c 6.013
_cell_angle_alpha 90.00
_cell_angle_beta 90.00
_cell_angle_gamma 90.00
_space_group_name_H-M_alt 'A m a 2'
_space_group_IT_number 40
loop_
_space_group_symop_operation_xyz
'x,y,z'
'-x,-y,z'
'-x+1/2,y,z'
'x+1/2,-y,z'
'x,y+1/2,z+1/2'
'-x,-y+1/2,z+1/2'
'-x+1/2,y+1/2,z+1/2'
'x+1/2,-y+1/2,z+1/2'
loop_
_atom_site_label
_atom_site_type_symbol
_atom_site_fract_x
_atom_site_fract_y
_atom_site_fract_z
Ho1 Ho 0.250 0.186 0.000
Lu1 Lu 0.250 0.428 0.779
Ga1 Ga 0.250 0.166 0.498
Ga2 Ga 0.250 0.437 0.270
```

* total energy: -4.11 eV per atom
* crystal system: orthorhombic

***

No. 5
VASP calculation (GGA-PBE) on crystalline HoLu2Ga at its relaxed geometry.

Cell and atoms, written as CIF:
```
data_HoLu2Ga
_cell_length_a 4.789
_cell_length_b 10.407
_cell_length_c 8.328
_cell_angle_alpha 90.00
_cell_angle_beta 90.00
_cell_angle_gamma 90.00
_space_group_name_H-M_alt 'A m a 2'
_space_group_IT_number 40
loop_
_space_group_symop_operation_xyz
'x,y,z'
'-x,-y,z'
'-x+1/2,y,z'
'x+1/2,-y,z'
'x,y+1/2,z+1/2'
'-x,-y+1/2,z+1/2'
'-x+1/2,y+1/2,z+1/2'
'x+1/2,-y+1/2,z+1/2'
loop_
_atom_site_label
_atom_site_type_symbol
_atom_site_fract_x
_atom_site_fract_y
_atom_site_fract_z
Ho1 Ho 0.250 0.114 0.000
Lu1 Lu 0.250 0.112 0.590
Lu2 Lu 0.250 0.382 0.796
Ga1 Ga 0.250 0.323 0.292
```

* crystal system: orthorhombic
* E above lowest polymorph: 0.00 kJ per mole of atoms

***

No. 6
VASP calculation (GGA-PBE) on crystalline Ho2Lu3Ga3 at its relaxed geometry.

Cell and atoms, written as CIF:
```
data_Ho2Lu3Ga3
_cell_length_a 6.8022
_cell_length_b 6.8022
_cell_length_c 4.8841
_cell_angle_alpha 90.00
_cell_angle_beta 90.00
_cell_angle_gamma 120.00
_space_group_name_H-M_alt 'P -6 m 2'
_space_group_IT_number 187
_space_group_name_Hall 'P -6 2'
loop_
_atom_site_label
_atom_site_type_symbol
_atom_site_fract_x
_atom_site_fract_y
_atom_site_fract_z
Ho1 Ho 0.0000 0.0000 0.0000
Ho2 Ho 0.3333 0.6667 0.5000
Lu1 Lu 0.3515 0.1758 0.5000
Ga1 Ga 0.5184 0.0368 0.0000
```

* crystal system: hexagonal
* E above lowest polymorph: 12.95 kJ per mole of atoms

***

No. 7
VASP calculation (GGA-PBE) on crystalline HoLuGa2 at its relaxed geometry.

Cell and atoms, written as CIF:
```
data_HoLuGa2
_cell_length_a 4.960
_cell_length_b 6.371
_cell_length_c 11.436
_cell_angle_alpha 90.00
_cell_angle_beta 90.00
_cell_angle_gamma 90.00
_space_group_name_H-M_alt 'A m m 2'
_space_group_IT_number 38
loop_
_space_group_symop_operation_xyz
'x,y,z'
'-x,-y,z'
'-x,y,z'
'x,-y,z'
'x,y+1/2,z+1/2'
'-x,-y+1/2,z+1/2'
'-x,y+1/2,z+1/2'
'x,-y+1/2,z+1/2'
loop_
_atom_site_label
_atom_site_type_symbol
_atom_site_fract_x
_atom_site_fract_y
_atom_site_fract_z
Ho1 Ho 0.000 0.000 0.000
Ho2 Ho 0.500 0.000 0.363
Lu1 Lu 0.500 0.236 0.619
Ga1 Ga 0.000 0.000 0.531
Ga2 Ga 0.000 0.247 0.257
Ga3 Ga 0.500 0.000 0.854
```

* total energy: -4.14 eV per atom
* crystal system: orthorhombic

***

No. 8
VASP calculation (GGA-PBE) on crystalline Ho2Lu5Ga at its relaxed geometry.

Cell and atoms, written as CIF:
```
data_Ho2Lu5Ga
_cell_length_a 5.377
_cell_length_b 6.906
_cell_length_c 11.975
_cell_angle_alpha 90.00
_cell_angle_beta 90.00
_cell_angle_gamma 90.00
_space_group_name_H-M_alt 'A m m 2'
_space_group_IT_number 38
loop_
_space_group_symop_operation_xyz
'x,y,z'
'-x,-y,z'
'-x,y,z'
'x,-y,z'
'x,y+1/2,z+1/2'
'-x,-y+1/2,z+1/2'
'-x,y+1/2,z+1/2'
'x,-y+1/2,z+1/2'
loop_
_atom_site_label
_atom_site_type_symbol
_atom_site_fract_x
_atom_site_fract_y
_atom_site_fract_z
Ho1 Ho 0.000 0.000 0.000
Ho2 Ho 0.500 0.000 0.343
Lu1 Lu 0.000 0.000 0.507
Lu2 Lu 0.000 0.244 0.758
Lu3 Lu 0.500 0.244 0.588
Ga1 Ga 0.500 0.000 0.834
```

* total energy: -4.41 eV per atom
* crystal system: orthorhombic

***

No. 9
VASP calculation (GGA-PBE) on crystalline HoLuGa2 at its relaxed geometry.

Cell and atoms, written as CIF:
```
data_HoLuGa2
_cell_length_a 4.011
_cell_length_b 4.283
_cell_length_c 10.726
_cell_angle_alpha 90.00
_cell_angle_beta 90.00
_cell_angle_gamma 90.00
_space_group_name_H-M_alt 'A m m 2'
_space_group_IT_number 38
loop_
_space_group_symop_operation_xyz
'x,y,z'
'-x,-y,z'
'-x,y,z'
'x,-y,z'
'x,y+1/2,z+1/2'
'-x,-y+1/2,z+1/2'
'-x,y+1/2,z+1/2'
'x,-y+1/2,z+1/2'
loop_
_atom_site_label
_atom_site_type_symbol
_atom_site_fract_x
_atom_site_fract_y
_atom_site_fract_z
Ho1 Ho 0.000 0.000 0.000
Lu1 Lu 0.500 0.000 0.278
Ga1 Ga 0.000 0.000 0.717
Ga2 Ga 0.500 0.000 0.562
```

* total energy: -4.41 eV per atom
* crystal system: orthorhombic

***

No. 10
VASP calculation (GGA-PBE) on crystalline HoLuGa at its relaxed geometry.

Cell and atoms, written as CIF:
```
data_HoLuGa
_cell_length_a 6.914
_cell_length_b 6.914
_cell_length_c 6.914
_cell_angle_alpha 90.00
_cell_angle_beta 90.00
_cell_angle_gamma 90.00
_space_group_name_H-M_alt 'F -4 3 m'
_space_group_IT_number 216
_space_group_name_Hall 'F -4 2 3'
loop_
_atom_site_label
_atom_site_type_symbol
_atom_site_fract_x
_atom_site_fract_y
_atom_site_fract_z
Ho1 Ho 0.000 0.000 0.000
Lu1 Lu 0.000 0.000 0.500
Ga1 Ga 0.250 0.250 0.250
```

* crystal system: cubic
* E above lowest polymorph: 0.00 kJ per mole of atoms

***

No. 11
VASP calculation (GGA-PBE) on crystalline Ho2Lu3Ga3 at its relaxed geometry.

Cell and atoms, written as CIF:
```
data_Ho2Lu3Ga3
_cell_length_a 6.519
_cell_length_b 4.763
_cell_length_c 6.531
_cell_angle_alpha 90.00
_cell_angle_beta 106.50
_cell_angle_gamma 90.00
_space_group_name_H-M_alt 'P 1 m 1'
_space_group_IT_number 6
loop_
_space_group_symop_operation_xyz
'x,y,z'
'x,-y,z'
loop_
_atom_site_label
_atom_site_type_symbol
_atom_site_fract_x
_atom_site_fract_y
_atom_site_fract_z
Ho1 Ho 0.000 0.000 0.000
Ho2 Ho 0.300 0.500 0.795
Lu1 Lu 0.299 0.500 0.296
Lu2 Lu 0.583 0.000 0.582
Lu3 Lu 0.795 0.500 0.287
Ga1 Ga 0.095 0.000 0.491
Ga2 Ga 0.497 0.000 0.100
Ga3 Ga 0.793 0.500 0.777
```

* crystal system: monoclinic
* E above lowest polymorph: 0.00 kJ per mole of atoms

***

No. 12
VASP calculation (GGA-PBE) on crystalline HoLuGa2 at its relaxed geometry.

Cell and atoms, written as CIF:
```
data_HoLuGa2
_cell_length_a 7.035
_cell_length_b 9.991
_cell_length_c 4.988
_cell_angle_alpha 90.00
_cell_angle_beta 90.00
_cell_angle_gamma 90.00
_space_group_name_H-M_alt 'C m c m'
_space_group_IT_number 63
_space_group_name_Hall '-C 2c 2'
loop_
_atom_site_label
_atom_site_type_symbol
_atom_site_fract_x
_atom_site_fract_y
_atom_site_fract_z
Ho1 Ho 0.000 0.125 0.250
Lu1 Lu 0.000 0.374 0.750
Ga1 Ga 0.245 0.376 0.250
```

* total energy: -4.35 eV per atom
* crystal system: orthorhombic